[1]
Tb7PmEr3 | PBE | optimized geometry

```
Tb7PmEr3
1.0
7.064 0.000 0.000
-3.532 6.117 0.000
0.000 0.000 8.577
Tb Pm Er
7 1 3
Direct
0.000 0.000 0.000 Tb
0.003 0.501 0.006 Tb
0.331 0.165 0.669 Tb
0.499 0.501 0.006 Tb
0.499 0.997 0.006 Tb
0.835 0.165 0.669 Tb
0.835 0.669 0.669 Tb
0.333 0.667 0.676 Pm
0.166 0.333 0.337 Er
0.166 0.834 0.337 Er
0.667 0.834 0.337 Er
```

Summary:
The value obtained for the density is 7.88 g/cm³. As for the formation enthalpy at 0 K: 0.194 eV per atom.

---

[2]
Mg2AgPd7 | PBE | optimized geometry

```
Mg2AgPd7
1.0
4.260 -7.702 0.000
4.260 7.702 0.000
0.000 0.000 2.778
Mg Ag Pd
2 1 7
Direct
0.177 0.823 0.000 Mg
0.823 0.177 0.000 Mg
0.500 0.500 0.500 Ag
0.000 0.000 0.000 Pd
0.171 0.362 0.000 Pd
0.319 0.681 0.500 Pd
0.362 0.171 0.000 Pd
0.638 0.829 0.000 Pd
0.681 0.319 0.500 Pd
0.829 0.638 0.000 Pd
```

Summary:
The value obtained for the density is 8.21 g/cm³. As for the formation enthalpy at 0 K: 0.018 eV per atom.

---

[3]
MgUIr | PBE | optimized geometry

```
MgUIr
1.0
13.346 0.000 0.000
0.000 2.921 0.000
-4.520 0.000 6.579
Mg U Ir
4 4 4
Direct
0.157 0.000 0.056 Mg
0.343 0.500 0.944 Mg
0.657 0.500 0.056 Mg
0.843 0.000 0.944 Mg
0.146 0.500 0.451 U
0.354 0.000 0.549 U
0.646 0.000 0.451 U
0.854 0.500 0.549 U
0.083 0.500 0.720 Ir
0.417 0.000 0.280 Ir
0.583 0.000 0.720 Ir
0.917 0.500 0.280 Ir
```

Summary:
The value obtained for the density is 11.77 g/cm³. As for the formation enthalpy at 0 K: 0.091 eV per atom.